Record 1
DFT (GGA-PBE) results for an optimized crystal structure of La4Pr7Ho.

Values from the calculation:
DFT formation energy: 222 meV/atom
Symmetry: No. 12

Lattice parameters (Å, degrees): 6.8999 6.8999 13.1917 114.20 114.20 53.40
Closest atoms and distances in Å follow each position.
Fractional coordinates of all 12 atoms:
La  0.0549  0.0549  0.3334  5 Pr 3.42-3.75, 2 La 3.76
La  0.3646  0.3646  0.2219  7 Pr 3.51-3.86, 2 La 3.76
La  0.6354  0.6354  0.7781  7 Pr 3.51-3.86, 2 La 3.76
La  0.9451  0.9451  0.6666  5 Pr 3.42-3.75, 2 La 3.76
Pr  0.0000  0.0000  0.0000  2 Ho 3.10, 2 Pr 3.19
Pr  0.2101  0.2101  0.9228  2 Pr 3.19-3.39, 1 Ho 3.24, 4 La 3.46-3.53
Pr  0.2601  0.2601  0.6907  2 Pr 3.35-3.39, 1 La 3.75
Pr  0.3647  0.3647  0.4971  2 Pr 3.30-3.35, 5 La 3.42-3.68
Pr  0.6353  0.6353  0.5029  2 Pr 3.30-3.35, 5 La 3.42-3.68
Pr  0.7399  0.7399  0.3093  2 Pr 3.35-3.39, 1 La 3.75
Pr  0.7899  0.7899  0.0772  2 Pr 3.19-3.39, 1 Ho 3.24, 4 La 3.46-3.53
Ho  0.5000  0.5000  0.0000  4 Pr 3.10-3.24


Record 2
DFT (GGA-PBE) results for an optimized crystal structure of TiInSb2.

Values from the calculation:
ΔE_f (raw): -0.129 eV/atom
Symmetry: No. 166

Lattice parameters (Å, degrees): 11.0533 11.0533 11.0533 17.06 17.06 17.06
Closest atoms and distances in Å follow each position.
Fractional coordinates of all 4 atoms:
Ti  0.0000  0.0000  0.0000  6 Sb 2.88
In  0.5000  0.5000  0.5000  6 In 3.28, 2 Sb 3.28
Sb  0.3996  0.3996  0.3996  3 Ti 2.88
Sb  0.6004  0.6004  0.6004  3 Ti 2.88


Record 3
DFT (GGA-PBE) results for an optimized crystal structure of PrTlGe2.

Values from the calculation:
DFT formation energy: -340 meV/atom
Symmetry: No. 123

Lattice parameters (Å, degrees): 4.6839 4.6839 4.3676 90.00 90.00 90.00
Closest atoms and distances in Å follow each position.
Fractional coordinates of all 4 atoms:
Pr  0.0000  0.0000  0.0000  8 Ge 3.20, 4 Tl 3.31
Tl  0.5000  0.5000  0.0000  8 Ge 3.20, 4 Pr 3.31
Ge  0.0000  0.5000  0.5000  4 Tl 3.20, 4 Pr 3.20, 4 Ge 3.31
Ge  0.5000  0.0000  0.5000  4 Tl 3.20, 4 Pr 3.20, 4 Ge 3.31